1.
{"formula": "Th8Ru5Pt", "functional": "PBE-GGA", "state": "optimized geometry", "formation_energy_kj_per_mol_atoms": -54, "total_magnetization_mub_per_fu": 0.00, "lattice_angstrom": [[-4.478, 4.478, 4.350], [4.478, -4.478, 4.350], [4.478, 4.478, -4.350]], "species": ["Th", "Th", "Th", "Th", "Th", "Th", "Th", "Th", "Ru", "Ru", "Ru", "Ru", "Ru", "Pt"], "frac_coords": [[0.017, 0.375, 0.247], [0.128, 0.770, 0.753], [0.136, 0.268, 0.758], [0.230, 0.983, 0.358], [0.510, 0.379, 0.242], [0.621, 0.864, 0.132], [0.625, 0.872, 0.642], [0.732, 0.490, 0.868], [0.000, 0.000, 0.000], [0.240, 0.629, 0.113], [0.371, 0.484, 0.611], [0.516, 0.127, 0.887], [0.873, 0.760, 0.389], [0.750, 0.250, 0.500]]}


2.
{"formula": "Th3RuPt", "functional": "PBE-GGA", "state": "optimized geometry", "formation_energy_kj_per_mol_atoms": -50, "total_magnetization_mub_per_fu": 0.00, "lattice_angstrom": [[6.291, 0.000, 0.000], [0.000, 5.233, 0.000], [0.000, 0.000, 8.399]], "species": ["Th", "Th", "Th", "Th", "Th", "Th", "Ru", "Ru", "Pt", "Pt"], "frac_coords": [[0.000, 0.000, 0.000], [0.250, 0.000, 0.369], [0.250, 0.500, 0.742], [0.500, 0.000, 0.000], [0.750, 0.000, 0.631], [0.750, 0.500, 0.258], [0.250, 0.000, 0.689], [0.750, 0.000, 0.311], [0.250, 0.500, 0.110], [0.750, 0.500, 0.890]]}


3.
{"formula": "Th3RuPt2", "functional": "PBE-GGA", "state": "optimized geometry", "formation_energy_kj_per_mol_atoms": -95, "total_magnetization_mub_per_fu": 0.00, "lattice_angstrom": [[8.391, 0.000, 0.000], [0.000, 5.883, 0.000], [0.000, 0.000, 12.315]], "species": ["Th", "Th", "Th", "Th", "Th", "Th", "Th", "Th", "Th", "Th", "Th", "Th", "Ru", "Ru", "Ru", "Ru", "Pt", "Pt", "Pt", "Pt", "Pt", "Pt", "Pt", "Pt"], "frac_coords": [[0.112, 0.250, 0.080], [0.125, 0.250, 0.748], [0.141, 0.250, 0.424], [0.359, 0.750, 0.924], [0.375, 0.750, 0.248], [0.388, 0.750, 0.580], [0.612, 0.250, 0.420], [0.625, 0.250, 0.752], [0.641, 0.250, 0.076], [0.859, 0.750, 0.576], [0.875, 0.750, 0.252], [0.888, 0.750, 0.920], [0.125, 0.750, 0.088], [0.375, 0.250, 0.588], [0.625, 0.750, 0.412], [0.875, 0.250, 0.912], [0.124, 0.750, 0.742], [0.126, 0.750, 0.419], [0.374, 0.250, 0.919], [0.376, 0.250, 0.242], [0.624, 0.750, 0.758], [0.626, 0.750, 0.081], [0.874, 0.250, 0.581], [0.876, 0.250, 0.258]]}


4.
{"formula": "Th6RuPt5", "functional": "PBE-GGA", "state": "optimized geometry", "formation_energy_kj_per_mol_atoms": -107, "total_magnetization_mub_per_fu": 0.00, "lattice_angstrom": [[3.625, -6.269, 0.000], [3.625, 6.269, 0.000], [-2.409, 0.000, 6.813]], "species": ["Th", "Th", "Th", "Th", "Th", "Th", "Ru", "Pt", "Pt", "Pt", "Pt", "Pt"], "frac_coords": [[0.081, 0.404, 0.743], [0.241, 0.241, 0.253], [0.404, 0.081, 0.743], [0.596, 0.919, 0.257], [0.759, 0.759, 0.747], [0.919, 0.596, 0.257], [0.000, 0.000, 0.500], [0.171, 0.829, 0.000], [0.334, 0.666, 0.500], [0.500, 0.500, 0.000], [0.666, 0.334, 0.500], [0.829, 0.171, 0.000]]}


5.
{"formula": "Th4RuPt", "functional": "PBE-GGA", "state": "optimized geometry", "formation_energy_kj_per_mol_atoms": -54, "total_magnetization_mub_per_fu": 0.00, "lattice_angstrom": [[7.191, 0.000, 0.000], [0.000, 7.191, 0.000], [0.000, 0.000, 6.099]], "species": ["Th", "Th", "Th", "Th", "Th", "Th", "Th", "Th", "Ru", "Ru", "Pt", "Pt"], "frac_coords": [[0.160, 0.327, 0.000], [0.160, 0.673, 0.500], [0.327, 0.160, 0.500], [0.327, 0.840, 0.000], [0.673, 0.160, 0.000], [0.673, 0.840, 0.500], [0.840, 0.327, 0.500], [0.840, 0.673, 0.000], [0.000, 0.000, 0.250], [0.000, 0.000, 0.750], [0.500, 0.500, 0.250], [0.500, 0.500, 0.750]]}


6.
{"formula": "TiRuPt3", "functional": "PBE-GGA", "state": "optimized geometry", "e_above_lowest_polymorph_mev_per_atom": 0.0, "formation_energy_kj_per_mol_atoms": 93, "total_magnetization_mub_per_fu": 2.14, "lattice_angstrom": [[4.623, 0.000, 0.000], [0.000, 4.623, 0.000], [0.000, 0.000, 4.623]], "species": ["Ti", "Ru", "Pt", "Pt", "Pt"], "frac_coords": [[0.000, 0.000, 0.000], [0.500, 0.500, 0.500], [0.000, 0.000, 0.500], [0.000, 0.500, 0.000], [0.500, 0.000, 0.000]]}


7.
{"formula": "TiRuPt", "functional": "PBE-GGA", "state": "optimized geometry", "e_above_lowest_polymorph_mev_per_atom": 781.3, "formation_energy_kj_per_mol_atoms": 9, "total_magnetization_mub_per_fu": 0.00, "lattice_angstrom": [[-1.411, 1.411, 6.644], [1.411, -1.411, 6.644], [1.411, 1.411, -6.644]], "species": ["Ti", "Ru", "Pt"], "frac_coords": [[0.000, 0.000, 0.000], [0.383, 0.383, 0.000], [0.181, 0.181, 0.000]]}


8.
{"formula": "TiRuPt2", "functional": "PBE-GGA", "state": "optimized geometry", "formation_energy_kj_per_mol_atoms": -17, "total_magnetization_mub_per_fu": 0.00, "lattice_angstrom": [[-1.886, 1.886, 9.207], [1.886, -1.886, 9.207], [1.886, 1.886, -9.207]], "species": ["Ti", "Ti", "Ru", "Ru", "Pt", "Pt", "Pt", "Pt"], "frac_coords": [[0.000, 0.000, 0.000], [0.750, 0.250, 0.500], [0.250, 0.750, 0.500], [0.500, 0.500, 0.000], [0.128, 0.625, 0.003], [0.375, 0.378, 0.503], [0.622, 0.125, 0.997], [0.875, 0.872, 0.497]]}